No. 1
Density functional theory data (PBE) for a geometry-optimized YLuInPd structure.

Output
For the size of the total moment, the calculation gives 0.00 μB per atom. The formation energy is -0.623 eV per atom. For the total energy, the calculation gives -5.35 eV/atom.

POSCAR file:
```
YLuInPd
1.0
-3.532 0.976 -3.567
-1.467 -3.689 -3.223
-4.673 -2.038 0.403
Pd Y In Lu
1 1 1 1
Direct
0.000 0.000 0.000
0.750 0.750 0.750
0.500 0.500 0.500
0.250 0.250 0.250
```

***

No. 2
Density functional theory data (PBE) for a geometry-optimized Tl5In4Sn structure.

Output
For the size of the total moment, the calculation gives 0.00 μB per atom. The formation energy is 0.027 eV per atom. The energy above the most stable polymorph in this dataset comes out at 0.0 meV per atom. For the total energy, the calculation gives -2.65 eV/atom.

POSCAR file:
```
Tl5In4Sn
1.0
3.517 0.000 0.000
0.000 7.213 0.006
-1.758 -1.919 11.439
In Tl Sn
4 5 1
Direct
0.099 0.283 0.198
0.297 0.899 0.595
0.703 0.101 0.405
0.901 0.717 0.802
0.900 0.192 0.800
0.302 0.406 0.605
0.100 0.808 0.200
0.698 0.594 0.395
0.500 0.500 0.000
0.500 0.000 0.000
```

***

No. 3
Density functional theory data (PBE) for a geometry-optimized SrNb3Au structure.

Output
For the size of the total moment, the calculation gives 0.42 μB per atom. The formation energy is 1.304 eV per atom. The energy above the most stable polymorph in this dataset comes out at 0.0 meV per atom. For the total energy, the calculation gives -5.73 eV/atom.

POSCAR file:
```
SrNb3Au
1.0
5.129 0.000 0.000
0.000 5.129 0.000
0.000 0.000 5.129
Nb Sr Au
3 1 1
Direct
0.000 0.000 0.500
0.500 0.000 0.000
0.000 0.500 0.000
0.500 0.500 0.500
0.000 0.000 0.000
```

***

No. 4
Density functional theory data (PBE) for a geometry-optimized As2IrWBr structure.

Output
For the size of the total moment, the calculation gives 0.34 μB per atom. The energy above the most stable polymorph in this dataset comes out at 0.0 meV per atom. For the total energy, the calculation gives -5.20 eV/atom.

POSCAR file:
```
As2IrWBr
1.0
4.880 0.000 0.000
0.000 4.880 0.000
0.000 0.000 4.922
Ir Br As W
1 1 2 1
Direct
0.500 0.500 0.500
0.000 0.000 0.500
0.500 0.000 0.000
0.000 0.500 0.000
0.000 0.000 0.000
```